Entry 1:
Computed, not measured: crystalline Ga2SbAu3 at its relaxed geometry at the PBE-GGA level of DFT.

* crystal system: monoclinic
* E: -40.7 eV/cell
* formation energy from raw total energies: -55 meV per atom
* calculated volume: 21.36 Å³ per atom

Lattice parameters (Å, degrees): 4.3641 3.9590 14.9447 90.00 96.93 90.00
Closest atoms and distances in Å follow each position.
Fractional coordinates of all 12 atoms:
Ga1 0.2016 0.2500 0.3869  6 Au 2.61-2.75
Ga2 0.2041 0.7500 0.8871  5 Au 2.60-2.73
Ga3 0.7959 0.2500 0.1129  5 Au 2.60-2.73
Ga4 0.7984 0.7500 0.6131  6 Au 2.61-2.75
Sb1 0.1635 0.7500 0.2402  4 Au 2.93-3.06, 4 Ga 2.94-3.06
Sb2 0.8365 0.2500 0.7598  4 Au 2.93-3.06, 4 Ga 2.94-3.06
Au1 0.2574 0.2500 0.0137  4 Ga 2.62-2.73
Au2 0.2580 0.7500 0.5161  4 Ga 2.61-2.75
Au3 0.3412 0.7500 0.7225  3 Ga 2.60-2.73
Au4 0.6588 0.2500 0.2775  3 Ga 2.60-2.73
Au5 0.7420 0.2500 0.4839  4 Ga 2.61-2.75
Au6 0.7426 0.7500 0.9863  4 Ga 2.62-2.73

***

Entry 2:
Computed, not measured: crystalline Si3AgO at its relaxed geometry at the PBE-GGA level of DFT.

* crystal system: cubic
* E: -22.7 eV/cell
* formation energy from raw total energies: 270 meV per atom
* calculated volume: 15.13 Å³ per atom

Lattice parameters (Å, degrees): 4.2293 4.2293 4.2293 90.00 90.00 90.00
Closest atoms and distances in Å follow each position.
Fractional coordinates of all 5 atoms:
Si1 0.0000 0.0000 0.5000  2 O 2.11
Si2 0.0000 0.5000 0.0000  2 O 2.11
Si3 0.5000 0.0000 0.0000  2 O 2.11
Ag1 0.5000 0.5000 0.5000  12 Si 2.99
O1 0.0000 0.0000 0.0000  6 Si 2.11

***

Entry 3:
Computed, not measured: crystalline Li7PaO6 at its relaxed geometry at the PBE-GGA level of DFT.

* crystal system: trigonal
* E: -85.2 eV/cell
* formation energy from raw total energies: -2327 meV per atom
* calculated volume: 10.71 Å³ per atom

Lattice parameters (Å, degrees): 6.2277 6.2277 6.2277 54.75 54.75 54.75
Closest atoms and distances in Å follow each position.
Fractional coordinates of all 14 atoms:
Li1 0.0000 0.0000 0.0000  3 O 2.10
Li2 0.1401 0.5239 0.9118  4 O 1.89-2.12
Li3 0.1591 0.7208 0.4185  4 O 1.98-2.06
Li4 0.4185 0.1591 0.7208  4 O 1.98-2.06
Li5 0.5239 0.9118 0.1401  4 O 1.89-2.12
Li6 0.7208 0.4185 0.1591  4 O 1.98-2.06
Li7 0.9118 0.1401 0.5239  4 O 1.89-2.12
Pa1 0.6439 0.6439 0.6439  6 O 2.17-2.23
O1 0.0186 0.4056 0.7660  5 Li 1.98-2.10
O2 0.2561 0.8484 0.5696  4 Li 1.89-2.12
O3 0.4056 0.7660 0.0186  5 Li 1.98-2.10
O4 0.5696 0.2561 0.8484  4 Li 1.89-2.12
O5 0.7660 0.0186 0.4056  5 Li 1.98-2.10
O6 0.8484 0.5696 0.2561  4 Li 1.89-2.12

***

Entry 4:
Computed, not measured: crystalline Na3Mg5 at its relaxed geometry at the PBE-GGA level of DFT.

* crystal system: orthorhombic
* E: -11.1 eV/cell
* calculated volume: 26.42 Å³ per atom
* energy of formation: 0.11 eV per atom

Lattice parameters (Å, degrees): 6.6216 6.6216 4.9909 90.00 90.00 105.03
Closest atoms and distances in Å follow each position.
Fractional coordinates of all 8 atoms:
Na1 0.0000 0.0000 0.0000  4 Na 3.16, 4 Mg 3.31
Na2 0.2399 0.2399 0.5000  2 Na 3.16, 6 Mg 3.23-3.40
Na3 0.7601 0.7601 0.5000  2 Na 3.16, 6 Mg 3.23-3.40
Mg1 0.0000 0.5000 0.0000  6 Mg 3.21-3.31, 2 Na 3.31
Mg2 0.2656 0.7344 0.5000  6 Mg 3.21-3.51, 4 Na 3.23-3.40
Mg3 0.5000 0.0000 0.0000  6 Mg 3.21-3.31, 2 Na 3.31
Mg4 0.5000 0.5000 0.0000  4 Na 3.26, 8 Mg 3.31-3.51
Mg5 0.7344 0.2656 0.5000  6 Mg 3.21-3.51, 4 Na 3.23-3.40

***

Entry 5:
Computed, not measured: crystalline LiCr2Pd9 at its relaxed geometry at the PBE-GGA level of DFT.

* crystal system: tetragonal
* E: -69.5 eV/cell
* calculated volume: 14.91 Å³ per atom
* energy of formation: -0.13 eV per atom

Lattice parameters (Å, degrees): 3.9099 3.9099 11.7031 90.00 90.00 90.00
Closest atoms and distances in Å follow each position.
Fractional coordinates of all 12 atoms:
Li1 0.0000 0.0000 0.0000  12 Pd 2.76
Cr1 0.0000 0.0000 0.3331  12 Pd 2.76
Cr2 0.0000 0.0000 0.6669  12 Pd 2.76
Pd1 0.0000 0.5000 0.1669  8 Pd 2.75-2.76, 2 Cr 2.76, 2 Li 2.76
Pd2 0.0000 0.5000 0.5000  4 Cr 2.76, 8 Pd 2.76-2.77
Pd3 0.0000 0.5000 0.8331  8 Pd 2.75-2.76, 2 Cr 2.76, 2 Li 2.76
Pd4 0.5000 0.0000 0.1669  8 Pd 2.75-2.76, 2 Cr 2.76, 2 Li 2.76
Pd5 0.5000 0.0000 0.5000  4 Cr 2.76, 8 Pd 2.76-2.77
Pd6 0.5000 0.0000 0.8331  8 Pd 2.75-2.76, 2 Cr 2.76, 2 Li 2.76
Pd7 0.5000 0.5000 0.0000  8 Pd 2.76, 4 Li 2.76
Pd8 0.5000 0.5000 0.3324  8 Pd 2.75-2.77, 4 Cr 2.76
Pd9 0.5000 0.5000 0.6676  8 Pd 2.75-2.77, 4 Cr 2.76

***

Entry 6:
Computed, not measured: crystalline TbScCo at its relaxed geometry at the PBE-GGA level of DFT.

* crystal system: tetragonal
* E: -18.5 eV/cell
* calculated volume: 21.39 Å³ per atom
* energy of formation: -0.15 eV per atom

Lattice parameters (Å, degrees): 6.4702 6.4702 6.4702 150.84 150.84 41.72
Closest atoms and distances in Å follow each position.
Fractional coordinates of all 3 atoms:
Tb1 0.0000 0.0000 0.0000  4 Co 2.89, 1 Sc 3.15
Sc1 0.2607 0.2607 0.0000  4 Co 2.70
Co1 0.6442 0.6442 0.0000  4 Sc 2.70, 4 Tb 2.89